# 1
A plane-wave DFT calculation with PBE-GGA was carried out for a relaxed Sn2SbOs2 crystal.

Summary:
E_tot	-6.1356	eV per atom
calculated density	11.1	Mg/m³
SG	No. 139
crystal system	tetragonal
formation energy from raw total energies	3.91	eV/f.u.

Unit cell a=4.646 b=4.646 c=6.079 alpha=67.53 beta=67.53 gamma=90.00
Sites, in units of the cell vectors:
1 Sb 0.000 0.000 0.000
2 Os 0.250 0.750 0.500
3 Sn 0.368 0.368 0.264
4 Os 0.750 0.250 0.500
5 Sn 0.632 0.632 0.736



# 2
A plane-wave DFT calculation with PBE-GGA was carried out for a relaxed SnSbOs2 crystal.

Summary:
E_tot	-6.4608	eV per atom
calculated density	9.7	Mg/m³
SG	No. 122
crystal system	tetragonal
formation energy from raw total energies	4.74	eV/f.u.

Unit cell a=5.964 b=5.964 c=7.294 alpha=65.87 beta=65.87 gamma=90.00
Sites, in units of the cell vectors:
1 Os 0.631 0.125 0.250
2 Sb 0.000 0.000 0.000
3 Sn 0.500 0.500 0.000
4 Sn 0.250 0.750 0.500
5 Os 0.375 0.369 0.750
6 Os 0.875 0.881 0.750
7 Sb 0.750 0.250 0.500
8 Os 0.119 0.625 0.250



# 3
A plane-wave DFT calculation with PBE-GGA was carried out for a relaxed SnSb3Os crystal.

Summary:
E_tot	-4.9169	eV per atom
calculated density	8.0	Mg/m³
SG	No. 221
crystal system	cubic
formation energy from raw total energies	3.02	eV/f.u.

Unit cell a=5.191 b=5.191 c=5.191 alpha=90.00 beta=90.00 gamma=90.00
Sites, in units of the cell vectors:
1 Sb 0.500 0.000 0.000
2 Sb 0.000 0.500 0.000
3 Sb 0.000 0.000 0.500
4 Sn 0.500 0.500 0.500
5 Os 0.000 0.000 0.000



# 4
A plane-wave DFT calculation with PBE-GGA was carried out for a relaxed SnSb6Os crystal.

Summary:
E_tot	-4.9243	eV per atom
calculated density	7.2	Mg/m³
SG	No. 12
crystal system	monoclinic
formation energy from raw total energies	0.57	eV/f.u.

Unit cell a=8.475 b=8.475 c=8.593 alpha=108.46 beta=108.78 gamma=110.65
Sites, in units of the cell vectors:
1 Sn 0.000 0.500 0.000
2 Sb 0.200 0.871 0.372
3 Os 0.500 0.500 0.500
4 Sb 0.843 0.682 0.525
5 Sb 0.501 0.172 0.372
6 Sb 0.677 0.799 0.170
7 Sb 0.867 0.375 0.242
8 Sb 0.629 0.507 0.830
9 Sb 0.133 0.625 0.758
10 Sb 0.371 0.493 0.170
11 Sn 0.500 0.000 0.000
12 Sb 0.323 0.201 0.830
13 Sb 0.800 0.129 0.628
14 Sb 0.157 0.318 0.475
15 Sb 0.499 0.828 0.628
16 Os 0.000 0.000 0.500



# 5
A plane-wave DFT calculation with PBE-GGA was carried out for a relaxed SnSbOs2 crystal.

Summary:
E_tot	-7.0941	eV per atom
calculated density	14.8	Mg/m³
SG	No. 225
crystal system	cubic
formation energy from raw total energies	2.21	eV/f.u.

Unit cell a=4.623 b=4.623 c=4.623 alpha=60.00 beta=60.00 gamma=60.00
Sites, in units of the cell vectors:
1 Os 0.750 0.750 0.750
2 Sn 0.000 0.000 0.000
3 Os 0.250 0.250 0.250
4 Sb 0.500 0.500 0.500



# 6
A plane-wave DFT calculation with PBE-GGA was carried out for a relaxed Sn2SbOs2 crystal.

Summary:
E_tot	-6.2777	eV per atom
calculated density	12.5	Mg/m³
SG	No. 127
crystal system	tetragonal
formation energy from raw total energies	3.20	eV/f.u.

Unit cell a=8.034 b=8.034 c=3.041 alpha=90.00 beta=90.00 gamma=90.00
Sites, in units of the cell vectors:
1 Sb 0.000 0.000 0.000
2 Sn 0.141 0.359 0.000
3 Sb 0.500 0.500 0.000
4 Os 0.153 0.653 0.500
5 Os 0.847 0.347 0.500
6 Sn 0.359 0.859 0.000
7 Sn 0.859 0.641 0.000
8 Os 0.347 0.153 0.500
9 Os 0.653 0.847 0.500
10 Sn 0.641 0.141 0.000